[1]
DFT (PBE) results for a geometry-optimized Ac2DyPuS6 structure.

Computed properties:
Raw formation energy in eV per atom: -1.9658
Fermi-level density of states in states/eV/f.u.: 12.743

abc: 7.2918 7.2918 18.7200
angles: 90.00 90.00 120.00
Closest atoms and distances in Å follow each position.
Space group R3 (No. 146, hexagonal axes)
Symmetry-distinct sites (fractional):
1 Ac 0.0000 0.0000 0.0000 [3 per cell]  6 S 2.98-3.05
2 Ac 0.0000 0.0000 0.5000 [3 per cell]  6 S 2.97-3.06
3 Dy 0.0000 0.0000 0.2132 [3 per cell]  6 S 2.72-2.77
4 Pu 0.0000 0.0000 0.7131 [3 per cell]  6 S 2.75-2.80
5 S 0.0638 0.3535 0.2831 [9 per cell]  1 Dy 2.72, 1 Pu 2.80, 1 Ac 2.98
6 S 0.0656 0.7074 0.7842 [9 per cell]  1 Pu 2.75, 1 Dy 2.77, 2 Ac 2.97-3.05

---

[2]
DFT (PBE) results for a geometry-optimized DyY3Cu structure.

Computed properties:
ΔE_f in eV/atom: 0.03
Fermi-level density of states in states/eV/f.u.: 9.118

abc: 11.4858 8.4546 7.8419
angles: 90.00 128.62 90.00
Closest atoms and distances in Å follow each position.
Space group C2/m (No. 12)
Symmetry-distinct sites (fractional):
1 Dy 0.0780 0.0000 0.2766 [4 per cell]  2 Cu 2.79-2.92
2 Y 0.0372 0.5000 0.3042 [4 per cell]  1 Cu 2.84
3 Y 0.2057 0.1995 0.7387 [8 per cell]  2 Cu 2.78-3.05
4 Cu 0.2251 0.0000 0.0793 [4 per cell]  5 Y 2.78-3.05, 2 Dy 2.79-2.92

---

[3]
DFT (PBE) results for a geometry-optimized HgSN2Cl structure.

Computed properties:
Raw formation energy in eV per atom: 2.0584
Fermi-level density of states in states/eV/f.u.: 2.565

abc: 4.2951 4.2951 5.6973
angles: 90.00 90.00 90.00
Closest atoms and distances in Å follow each position.
Space group P4/mmm (No. 123)
Symmetry-distinct sites (fractional):
1 Hg 0.0000 0.0000 0.0000 [1 per cell]  4 N 2.15
2 S 0.0000 0.0000 0.5000 [1 per cell]  2 Hg 2.85, 4 Cl 3.04
3 N 0.0000 0.5000 0.0000 [2 per cell]  2 Hg 2.15
4 Cl 0.5000 0.5000 0.5000 [1 per cell]  4 S 3.04

---

[4]
DFT (PBE) results for a geometry-optimized Fe3MoIr12 structure.

Computed properties:
ΔE_f in eV/atom: -0.13
Fermi-level density of states in states/eV/f.u.: 13.992

abc: 3.8437 3.8437 15.3663
angles: 90.00 90.00 90.00
Closest atoms and distances in Å follow each position.
Space group P4/mmm (No. 123)
Symmetry-distinct sites (fractional):
1 Fe 0.0000 0.0000 0.0000 [1 per cell]  12 Ir 2.71-2.72
2 Fe 0.0000 0.0000 0.2435 [2 per cell]  12 Ir 2.66-2.78
3 Mo 0.0000 0.0000 0.5000 [1 per cell]  12 Ir 2.72-2.73
4 Ir 0.0000 0.5000 0.1241 [4 per cell]  4 Fe 2.66-2.71, 8 Ir 2.71-2.72
5 Ir 0.0000 0.5000 0.3743 [4 per cell]  8 Ir 2.72-2.73, 2 Mo 2.73, 2 Fe 2.78
6 Ir 0.5000 0.5000 0.0000 [1 per cell]  8 Ir 2.71, 4 Fe 2.72
7 Ir 0.5000 0.5000 0.2488 [2 per cell]  8 Ir 2.71-2.72, 4 Fe 2.72
8 Ir 0.5000 0.5000 0.5000 [1 per cell]  4 Mo 2.72, 8 Ir 2.73

---

[5]
DFT (PBE) results for a geometry-optimized LaTaMoOs structure.

Computed properties:
ΔE_f in eV/atom: 0.42
Fermi-level density of states in states/eV/f.u.: 2.845

abc: 11.3230 3.1571 4.7449
angles: 90.00 114.63 90.00
Closest atoms and distances in Å follow each position.
Space group Cm (No. 8)
Symmetry-distinct sites (fractional):
1 La 0.0000 0.0000 0.0000 [2 per cell]  4 Mo 2.87, 2 Os 3.09, 2 La 3.16, 2 Ta 3.17
2 Ta 0.2667 0.5000 0.2662 [2 per cell]  4 Os 2.86-2.87, 2 Ta 3.16, 2 La 3.17, 2 Mo 3.18
3 Mo 0.0345 0.5000 0.5346 [2 per cell]  2 Os 2.65, 4 La 2.87
4 Os 0.2419 0.0000 0.7404 [2 per cell]  2 Mo 2.65, 4 Ta 2.86-2.87

---

[6]
DFT (PBE) results for a geometry-optimized LiHg2Au structure.

Computed properties:
ΔE_f in eV/atom: -0.22
Fermi-level density of states in states/eV/f.u.: 0.883

abc: 3.2075 3.4980 7.0855
angles: 90.00 91.90 90.00
Closest atoms and distances in Å follow each position.
Space group Pm (No. 6)
Symmetry-distinct sites (fractional):
1 Li 0.0000 0.0000 0.0000 [1 per cell]  4 Au 2.70-2.71, 4 Hg 2.91-2.92
2 Hg 0.5208 0.5000 0.2390 [1 per cell]  4 Li 2.91-2.92, 1 Au 2.98, 4 Hg 3.15-3.21
3 Hg 0.9807 0.0000 0.5517 [1 per cell]  4 Au 3.00-3.06, 6 Hg 3.15-3.35, 1 Li 3.18
4 Au 0.4847 0.5000 0.8175 [1 per cell]  4 Li 2.70-2.71, 3 Hg 2.98-3.00

---

[7]
DFT (PBE) results for a geometry-optimized LiMg6Si structure.

Computed properties:
Raw formation energy in eV per atom: 0.0166
Fermi-level density of states in states/eV/f.u.: 3.824

abc: 4.9057 6.2264 10.8519
angles: 90.00 90.00 90.00
Closest atoms and distances in Å follow each position.
Space group Amm2 (No. 38)
Symmetry-distinct sites (fractional):
1 Li 0.0000 0.0000 0.0000 [2 per cell]  10 Mg 3.03-3.15, 2 Si 3.11
2 Mg 0.0000 0.2486 0.2486 [4 per cell]  8 Mg 3.04-3.13, 2 Li 3.11-3.15, 2 Si 3.12-3.13
3 Mg 0.5000 0.0000 0.1646 [2 per cell]  2 Li 3.03, 10 Mg 3.04-3.16
4 Mg 0.5000 0.0000 0.6629 [2 per cell]  2 Si 3.03, 10 Mg 3.05-3.19
5 Mg 0.5000 0.2477 0.4191 [4 per cell]  2 Si 3.03, 2 Li 3.04, 8 Mg 3.06-3.19
6 Si 0.0000 0.0000 0.4996 [2 per cell]  10 Mg 3.03-3.13, 2 Li 3.11

---

[8]
DFT (PBE) results for a geometry-optimized Na3Li4Pb2 structure.

Computed properties:
ΔE_f in eV/atom: -0.21
Fermi-level density of states in states/eV/f.u.: 3.127

abc: 5.0034 5.0034 9.5747
angles: 90.00 90.00 120.00
Closest atoms and distances in Å follow each position.
Space group P-3m1 (No. 164)
Symmetry-distinct sites (fractional):
1 Na 0.0000 0.0000 0.0000 [1 per cell]  8 Li 2.85-3.07
2 Na 0.3333 0.6667 0.5783 [2 per cell]  4 Li 3.01-3.12, 3 Na 3.25
3 Li 0.0000 0.0000 0.2978 [2 per cell]  4 Na 2.85-3.12, 3 Pb 2.98
4 Li 0.3333 0.6667 0.8930 [2 per cell]  4 Na 3.01-3.07, 4 Pb 3.09-3.15
5 Pb 0.3333 0.6667 0.2215 [2 per cell]  7 Li 2.98-3.15

---

[9]
DFT (PBE) results for a geometry-optimized Sb structure.

Computed properties:
Raw formation energy in eV per atom: 0.1726
Fermi-level density of states in states/eV/f.u.: 0.327

abc: 7.3165 7.3165 6.0775
angles: 90.00 90.00 90.00
Closest atoms and distances in Å follow each position.
Space group P4/mcc (No. 124)
Symmetry-distinct sites (fractional):
1 Sb 0.0503 0.2825 0.0000 [8 per cell]  5 Sb 2.97-3.27

---

[10]
DFT (PBE) results for a geometry-optimized ReTcRu structure.

Computed properties:
ΔE_f in eV/atom: 0.57
Fermi-level density of states in states/eV/f.u.: 4.584

abc: 5.9048 5.9048 5.9048
angles: 90.00 90.00 90.00
Closest atoms and distances in Å follow each position.
Space group F-43m (No. 216)
Symmetry-distinct sites (fractional):
1 Re 0.0000 0.0000 0.0000 [4 per cell]  4 Tc 2.56, 4 Ru 2.56
2 Tc 0.2500 0.2500 0.7500 [4 per cell]  4 Re 2.56
3 Ru 0.2500 0.2500 0.2500 [4 per cell]  4 Re 2.56

---

[11]
DFT (PBE) results for a geometry-optimized CdCuF5 structure.

Computed properties:
Raw formation energy in eV per atom: -1.6978
Fermi-level density of states in states/eV/f.u.: 2.158

abc: 8.8931 6.3982 7.6517
angles: 90.00 115.17 90.00
Closest atoms and distances in Å follow each position.
Space group C2/c (No. 15)
Symmetry-distinct sites (fractional):
1 Cd 0.0000 0.0462 0.2500 [4 per cell]  6 F 2.18-2.38
2 Cu 0.0000 0.5000 0.0000 [4 per cell]  6 F 1.86-1.96
3 F 0.0000 0.4330 0.2500 [4 per cell]  2 Cu 1.96
4 F 0.0214 0.2012 0.9794 [8 per cell]  1 Cu 1.93
5 F 0.2297 0.4671 0.6197 [8 per cell]  1 Cu 1.86

---

[12]
DFT (PBE) results for a geometry-optimized AgBiSb2Pd structure.

Computed properties:
Raw formation energy in eV per atom: 1.1134
Fermi-level density of states in states/eV/f.u.: 4.804

abc: 5.8629 5.8629 5.1837
angles: 90.00 90.00 90.00
Closest atoms and distances in Å follow each position.
Space group P4/mmm (No. 123)
Symmetry-distinct sites (fractional):
1 Ag 0.0000 0.0000 0.0000 [1 per cell]  2 Bi 2.59
2 Bi 0.0000 0.0000 0.5000 [1 per cell]  2 Ag 2.59
3 Sb 0.0000 0.5000 0.5000 [2 per cell]  2 Bi 2.93
4 Pd 0.5000 0.5000 0.0000 [1 per cell]  8 Sb 3.91, 4 Ag 4.15

---

[13]
DFT (PBE) results for a geometry-optimized K2NiCl7 structure.

Computed properties:
Raw formation energy in eV per atom: -0.8780

abc: 14.9785 7.8699 11.4395
angles: 90.00 113.53 90.00
Closest atoms and distances in Å follow each position.
Space group C2/c (No. 15)
Symmetry-distinct sites (fractional):
1 K 0.1775 0.0246 0.0829 [8 per cell]  8 Cl 3.18-3.54
2 Ni 0.0000 0.2658 0.2500 [4 per cell]  5 Cl 2.20-2.21
3 Cl 0.0000 0.4534 0.7500 [4 per cell]  1 Ni 2.21
4 Cl 0.0084 0.2451 0.4458 [8 per cell]  1 Ni 2.20
5 Cl 0.1343 0.2249 0.8129 [8 per cell]  1 Cl 2.58
6 Cl 0.1591 0.2315 0.3237 [8 per cell]  1 Ni 2.20

---

[14]
DFT (PBE) results for a geometry-optimized HoBi2Rh structure.

Computed properties:
ΔE_f in eV/atom: -0.04
Fermi-level density of states in states/eV/f.u.: 1.918

abc: 3.5493 3.5493 30.2421
angles: 90.00 90.00 120.00
Closest atoms and distances in Å follow each position.
Space group R-3m (No. 166, hexagonal axes)
Symmetry-distinct sites (fractional):
1 Ho 0.0000 0.0000 0.0000 [3 per cell]  2 Bi 3.14
2 Bi 0.0000 0.0000 0.1039 [6 per cell]  3 Rh 2.79
3 Rh 0.0000 0.0000 0.5000 [3 per cell]  6 Bi 2.79

---

[15]
DFT (PBE) results for a geometry-optimized Be2WAu structure.

Computed properties:
ΔE_f in eV/atom: 0.67
Fermi-level density of states in states/eV/f.u.: 4.304

abc: 6.0510 6.0510 6.0510
angles: 90.00 90.00 90.00
Closest atoms and distances in Å follow each position.
Space group F-43m (No. 216)
Symmetry-distinct sites (fractional):
1 Be 0.0000 0.0000 0.0000 [4 per cell]  4 Be 2.62, 4 Au 2.62
2 Be 0.2500 0.2500 0.2500 [4 per cell]  4 W 2.62, 4 Be 2.62
3 W 0.0000 0.0000 0.5000 [4 per cell]  4 Be 2.62, 4 Au 2.62
4 Au 0.2500 0.2500 0.7500 [4 per cell]  4 W 2.62, 4 Be 2.62

---

[16]
DFT (PBE) results for a geometry-optimized TbNF2 structure.

Computed properties:
Raw formation energy in eV per atom: -2.1165
Fermi-level density of states in states/eV/f.u.: 0.021

abc: 4.8136 3.9950 6.9123
angles: 90.00 90.99 90.00
Closest atoms and distances in Å follow each position.
Space group P2_1/m (No. 11)
Symmetry-distinct sites (fractional):
1 Tb 0.0190 0.2500 0.2484 [2 per cell]  6 F 2.29-2.43, 2 N 2.42-2.43
2 N 0.4811 0.7500 0.7071 [2 per cell]  2 Tb 2.42-2.43
3 F 0.0581 0.2500 0.5991 [2 per cell]  3 Tb 2.29-2.43, 3 F 2.48-2.51
4 F 0.1396 0.7500 0.0671 [2 per cell]  3 Tb 2.30-2.43, 3 F 2.51-2.57

---

[17]
DFT (PBE) results for a geometry-optimized MgAlCd structure.

Computed properties:
ΔE_f in eV/atom: 0.03
Fermi-level density of states in states/eV/f.u.: 0.892

abc: 4.8306 4.8306 3.0635
angles: 90.00 90.00 120.00
Closest atoms and distances in Å follow each position.
Space group P-6m2 (No. 187)
Symmetry-distinct sites (fractional):
1 Mg 0.0000 0.0000 0.0000 [1 per cell]  2 Mg 3.06, 6 Cd 3.18, 6 Al 3.18
2 Al 0.3333 0.6667 0.5000 [1 per cell]  3 Cd 2.79, 2 Al 3.06
3 Cd 0.6667 0.3333 0.5000 [1 per cell]  3 Al 2.79, 2 Cd 3.06

---

[18]
DFT (PBE) results for a geometry-optimized Ho4PdPt2 structure.

Computed properties:
ΔE_f in eV/atom: -1.01
Fermi-level density of states in states/eV/f.u.: 6.522

abc: 4.8841 4.8841 23.9319
angles: 90.00 90.00 120.00
Closest atoms and distances in Å follow each position.
Space group R-3m (No. 166, hexagonal axes)
Symmetry-distinct sites (fractional):
1 Ho 0.0000 0.0000 0.1242 [6 per cell]  4 Pt 2.99-3.04, 3 Pd 3.00
2 Ho 0.0000 0.0000 0.3741 [6 per cell]  4 Pt 2.94-2.99, 1 Pd 3.01
3 Pd 0.0000 0.0000 0.5000 [3 per cell]  8 Ho 3.00-3.01
4 Pt 0.0000 0.0000 0.2513 [6 per cell]  8 Ho 2.94-3.04

---

[19]
DFT (PBE) results for a geometry-optimized Sm2Si3IrPt12 structure.

Computed properties:
Raw formation energy in eV per atom: -0.3808
Fermi-level density of states in states/eV/f.u.: 8.931

abc: 8.1787 8.1787 18.4534
angles: 90.00 90.00 120.00
Closest atoms and distances in Å follow each position.
Space group R-3m (No. 166, hexagonal axes)
Symmetry-distinct sites (fractional):
1 Sm 0.0000 0.0000 0.1117 [6 per cell]  6 Pt 2.90-2.91
2 Si 0.0000 0.5000 0.0000 [9 per cell]  6 Pt 2.33-2.37
3 Ir 0.0000 0.0000 0.5000 [3 per cell]  6 Pt 2.53
4 Pt 0.0080 0.5040 0.8737 [18 per cell]  1 Si 2.33, 1 Ir 2.53
5 Pt 0.0272 0.5136 0.3696 [18 per cell]  2 Si 2.37

---

[20]
DFT (PBE) results for a geometry-optimized Rb3SiAg structure.

Computed properties:
Raw formation energy in eV per atom: 0.4529
Fermi-level density of states in states/eV/f.u.: 3.231

abc: 6.7498 6.7498 6.7498
angles: 90.00 90.00 90.00
Closest atoms and distances in Å follow each position.
Space group Pm-3m (No. 221)
Symmetry-distinct sites (fractional):
1 Rb 0.0000 0.0000 0.5000 [3 per cell]  2 Si 3.37
2 Si 0.0000 0.0000 0.0000 [1 per cell]  6 Rb 3.37
3 Ag 0.5000 0.5000 0.5000 [1 per cell]  12 Rb 4.77